# Er2ZnSe

A relaxed Er2ZnSe crystal (PBE, the Alexandria database).

Cell and atoms, written as CIF:
```
data_Er2ZnSe
_chemical_formula_sum 'Er2 Zn1 Se1'
_cell_length_a 9.746
_cell_length_b 9.746
_cell_length_c 9.746
_cell_angle_alpha 22.06
_cell_angle_beta 22.06
_cell_angle_gamma 22.06
_symmetry_space_group_name_H-M 'P 1'
_symmetry_Int_Tables_number 1
_symmetry_space_group_name_Hall 'P 1'
loop_
_atom_site_label
_atom_site_type_symbol
_atom_site_fract_x
_atom_site_fract_y
_atom_site_fract_z
Er1 Er 0.104 0.104 0.104
Er2 Er 0.896 0.896 0.896
Zn1 Zn 0.000 0.000 0.000
Se1 Se 0.500 0.500 0.500
```

excess energy over the best structure of this formula in the dataset = 570 meV per atom
spin magnetization = 0.000 μB/atom
raw formation energy = -0.47 eV per atom
uncorrected energy = -0.14482 Ha/atom
N(E_F) = 0.931 states/eV/atom
crystal system = trigonal